# ScNbAu2 (PBE-GGA, relaxed)
# **Space-group type**: F-43m, No. 216
# **Total energy**: -23.4 eV/f.u.
data_ScNbAu2
_symmetry_space_group_name_H-M 'P 1'
_symmetry_Int_Tables_number 1
_symmetry_space_group_name_Hall 'P 1'
_cell_length_a 4.680
_cell_length_b 4.680
_cell_length_c 4.680
_cell_angle_alpha 60.00
_cell_angle_beta 60.00
_cell_angle_gamma 60.00
loop_
_atom_site_label
_atom_site_type_symbol
_atom_site_fract_x
_atom_site_fract_y
_atom_site_fract_z
Sc1 Sc 0.000 0.000 0.000
Nb1 Nb 0.250 0.250 0.250
Au1 Au 0.500 0.500 0.500
Au2 Au 0.750 0.750 0.750